Density functional theory data (GGA-PBE) for MgMnFe2Pb after structural relaxation.

Summary:
Crystal system = tetragonal
Energy of formation = 1489 meV/atom

abc: 4.4690 4.4690 5.0673
angles: 90.00 90.00 90.00
Space group P4/mmm (No. 123)
Asymmetric unit:
Mg 0.0000 0.0000 0.0000
Mn 0.5000 0.5000 0.5000
Fe 0.0000 0.5000 0.0000
Pb 0.0000 0.0000 0.5000